VO2F: optimized geometry, PBE+U.

POSCAR file:
```
VO2F
1.0
8.757 -2.638 0.000
8.757 2.638 0.000
-3.006 0.000 6.832
V O F
6 12 6
Direct
0.002 0.998 0.500
0.285 0.383 0.837
0.383 0.285 0.337
0.626 0.703 0.672
0.703 0.626 0.172
0.998 0.002 0.000
0.079 0.939 0.294
0.179 0.680 0.932
0.290 0.388 0.128
0.349 0.820 0.654
0.388 0.290 0.628
0.539 0.984 0.267
0.597 0.743 0.458
0.680 0.179 0.432
0.743 0.597 0.958
0.820 0.349 0.154
0.939 0.079 0.794
0.984 0.539 0.767
0.021 0.482 0.323
0.161 0.679 0.490
0.326 0.869 0.095
0.482 0.021 0.823
0.679 0.161 0.990
0.869 0.326 0.595
```

Computed properties:
DOS at the Fermi energy in states/eV/f.u.: 0.000
Calculated total energy in eV per atom: -6.792